1.
Computed, not measured: crystalline ScCo2Pt at its relaxed geometry at the PBE-GGA level of DFT.

a = 4.7622 Å, b = 4.7622 Å, c = 4.7622 Å
α = 132.92°, β = 132.89°, γ = 68.81°
Each line ends with the local moment (μB).
Positions (direct):
1 Sc 0.2500 0.7500 0.5000  -0.14
2 Pt 0.7500 0.2500 0.5000  0.20
3 Co 0.5000 0.5000 0.0000  1.51
4 Co 0.0000 0.0000 0.0000  1.51

2.
Computed, not measured: crystalline YbGeAu at its relaxed geometry at the PBE-GGA level of DFT.

a = 3.6176 Å, b = 4.5290 Å, c = 4.5288 Å
α = 60.00°, β = 90.00°, γ = 90.00°
Each line ends with the local moment (μB).
Positions (direct):
1 Ge 0.5000 0.6667 0.6667  0.00
2 Au 0.5000 0.3333 0.3334  0.00
3 Yb 0.0000 0.0000 0.0001  0.20

3.
Computed, not measured: crystalline NdPuGa at its relaxed geometry at the PBE-GGA level of DFT.

Calculated values
* polymorph energy (0 for the lowest one): 0.0786 eV per atom

a = 3.4845 Å, b = 5.0743 Å, c = 5.0743 Å
α = 120.00°, β = 90.00°, γ = 90.00°
Each line ends with the local moment (μB).
Positions (direct):
1 Pu 0.2840 0.3333 0.6667  5.49
2 Nd 0.6922 0.6667 0.3333  0.09
3 Ga 0.0238 0.0000 0.0000  -0.06

4.
Computed, not measured: crystalline La2EuZn at its relaxed geometry at the PBE-GGA level of DFT.

Calculated values
* polymorph energy (0 for the lowest one): 0.1128 eV per atom

a = 4.0566 Å, b = 5.5414 Å, c = 5.5414 Å
α = 90.00°, β = 90.00°, γ = 90.00°
Each line ends with the local moment (μB).
Positions (direct):
1 La 0.0000 0.5000 0.0000  0.05
2 La 0.0000 0.0000 0.5000  0.05
3 Zn 0.5000 0.0000 0.0000  -0.01
4 Eu 0.5000 0.5000 0.5000  6.88

5.
Computed, not measured: crystalline CaNdZn2 at its relaxed geometry at the PBE-GGA level of DFT.

Calculated values
* polymorph energy (0 for the lowest one): 0.0000 eV per atom

a = 5.1948 Å, b = 5.1948 Å, c = 5.1948 Å
α = 60.00°, β = 60.00°, γ = 60.00°
Positions (direct):
1 Zn 0.7500 0.7500 0.7500
2 Zn 0.2500 0.2500 0.2500
3 Nd 0.0000 0.0000 0.0000
4 Ca 0.5000 0.5000 0.5000

6.
Computed, not measured: crystalline As2IrPt at its relaxed geometry at the PBE-GGA level of DFT.

Calculated values
* polymorph energy (0 for the lowest one): 0.2336 eV per atom

a = 4.5088 Å, b = 4.5088 Å, c = 4.5088 Å
α = 60.00°, β = 60.00°, γ = 60.00°
Positions (direct):
1 Pt 0.5000 0.5000 0.5000
2 As 0.2500 0.2500 0.2500
3 As 0.7500 0.7500 0.7500
4 Ir 0.0000 0.0000 0.0000

no.,total energy (eV per atom),energy relative to the elements (meV per atom)
1,-7.0170,-371
2,-3.8796,-739
3,-7.4953,-120
4,-5.3674,-17
5,-2.6283,-299
6,-5.9013,149